1.
# DyAl2Ga

DyAl2Ga after structural relaxation (GGA-PBE, Alexandria).

a = 4.190 Å, b = 8.570 Å, c = 9.165 Å
α = 90.00°, β = 90.00°, γ = 104.15°
Positions (direct):
1 Dy 0.500 0.000 0.500
2 Dy 0.500 0.000 0.000
3 Dy 0.692 0.384 0.250
4 Dy 0.308 0.616 0.750
5 Al 0.104 0.209 0.750
6 Al 0.049 0.099 0.250
7 Al 0.896 0.791 0.250
8 Al 0.951 0.901 0.750
9 Al 0.306 0.612 0.394
10 Al 0.694 0.388 0.606
11 Al 0.694 0.388 0.894
12 Al 0.306 0.612 0.106
13 Ga 0.859 0.717 0.530
14 Ga 0.141 0.283 0.030
15 Ga 0.859 0.717 0.970
16 Ga 0.141 0.283 0.470

Computed properties:
**Electronic total energy**: -4.1734 eV/atom
**Energy of formation**: -0.395 eV per atom
**Space group**: No. 63
**M_tot**: 0.000 μB per atom

***

2.
# Ta2TlSb

Ta2TlSb after structural relaxation (GGA-PBE, Alexandria).

a = 2.964 Å, b = 2.964 Å, c = 10.988 Å
α = 90.00°, β = 90.00°, γ = 90.00°
Positions (direct):
1 Sb 0.500 0.500 0.810
2 Ta 0.000 0.000 0.016
3 Ta 0.500 0.500 0.215
4 Tl 0.000 0.000 0.459

Computed properties:
**Electronic total energy**: -7.2099 eV/atom
**Space group**: No. 99
**M_tot**: 0.000 μB per atom
**ΔE_f (raw)**: 0.339 eV/atom

***

3.
# HfPt2Rh

HfPt2Rh after structural relaxation (GGA-PBE, Alexandria).

a = 4.547 Å, b = 4.547 Å, c = 4.547 Å
α = 60.00°, β = 60.00°, γ = 60.00°
Positions (direct):
1 Rh 0.000 0.000 0.000
2 Hf 0.500 0.500 0.500
3 Pt 0.250 0.250 0.250
4 Pt 0.750 0.750 0.750

Computed properties:
**Electronic total energy**: -7.9972 eV/atom
**Energy of formation**: -0.651 eV per atom
**Space group**: No. 225
**M_tot**: 0.000 μB per atom

***

4.
# MgB2As

MgB2As after structural relaxation (GGA-PBE, Alexandria).

a = 5.440 Å, b = 5.440 Å, c = 5.838 Å
α = 62.23°, β = 62.23°, γ = 90.00°
Positions (direct):
1 As 0.000 0.000 0.000
2 As 0.750 0.250 0.500
3 B 0.677 0.125 0.250
4 B 0.073 0.625 0.250
5 B 0.375 0.323 0.750
6 B 0.875 0.927 0.750
7 Mg 0.500 0.500 0.000
8 Mg 0.250 0.750 0.500

Computed properties:
**Electronic total energy**: -4.0993 eV/atom
**Energy of formation**: 0.800 eV per atom
**Space group**: No. 122
**M_tot**: 0.000 μB per atom

***

5.
# V3PdW

V3PdW after structural relaxation (GGA-PBE, Alexandria).

a = 4.585 Å, b = 4.585 Å, c = 4.585 Å
α = 90.00°, β = 90.00°, γ = 90.00°
Positions (direct):
1 W 0.000 0.000 0.000
2 Pd 0.500 0.500 0.500
3 V 0.000 0.500 0.000
4 V 0.000 0.000 0.500
5 V 0.500 0.000 0.000

Computed properties:
**Electronic total energy**: -7.7264 eV/atom
**Energy of formation**: 1.374 eV per atom
**Space group**: No. 221
**M_tot**: 0.546 μB per atom

***

6.
# AlCuPt3

AlCuPt3 after structural relaxation (GGA-PBE, Alexandria).

a = 4.013 Å, b = 4.015 Å, c = 9.205 Å
α = 90.00°, β = 77.25°, γ = 90.00°
Positions (direct):
1 Al 0.357 0.344 0.003
2 Al 0.054 0.844 0.612
3 Cu 0.857 0.844 0.003
4 Cu 0.554 0.344 0.612
5 Pt 0.148 0.344 0.425
6 Pt 0.956 0.344 0.808
7 Pt 0.650 0.844 0.422
8 Pt 0.761 0.344 0.193
9 Pt 0.263 0.844 0.190
10 Pt 0.455 0.844 0.807

Computed properties:
**Electronic total energy**: -5.7900 eV/atom
**Energy of formation**: -0.598 eV per atom
**Space group**: No. 11
**M_tot**: 0.000 μB per atom

***

7.
# EuPuPt2

EuPuPt2 after structural relaxation (GGA-PBE, Alexandria).

a = 3.535 Å, b = 3.535 Å, c = 7.245 Å
α = 90.00°, β = 90.00°, γ = 90.00°
Positions (direct):
1 Eu 0.500 0.500 0.500
2 Pt 0.000 0.000 0.228
3 Pt 0.000 0.000 0.772
4 Pu 0.500 0.500 0.000

Computed properties:
**Electronic total energy**: -9.9746 eV/atom
**Energy of formation**: -0.803 eV per atom
**Space group**: No. 123
**M_tot**: 0.411 μB per atom

***

8.
# RbVH2Cl8

RbVH2Cl8 after structural relaxation (GGA-PBE, Alexandria).

a = 6.476 Å, b = 6.669 Å, c = 9.088 Å
α = 105.30°, β = 77.57°, γ = 106.94°
Positions (direct):
1 Rb 0.000 0.000 0.500
2 V 0.000 0.000 0.000
3 H 0.451 0.273 0.764
4 H 0.549 0.727 0.236
5 Cl 0.091 0.789 0.122
6 Cl 0.651 0.785 0.008
7 Cl 0.902 0.212 0.231
8 Cl 0.909 0.211 0.878
9 Cl 0.349 0.215 0.992
10 Cl 0.098 0.788 0.769
11 Cl 0.486 0.702 0.379
12 Cl 0.514 0.298 0.621

Computed properties:
**Electronic total energy**: -3.6172 eV/atom
**Space group**: No. 2
**M_tot**: 0.000 μB per atom